Na2PdRh2Se6: optimized geometry, PBE.

POSCAR file:
```
Na2PdRh2Se6
1.0
6.5693 -0.0334 0.0777
-3.2760 5.6943 0.0777
-1.1588 -1.9919 6.7196
Na Pd Rh Se
2 1 2 6
direct
0.8376 0.1624 0.0000
0.1624 0.8376 0.0000
0.0000 0.0000 0.5000
0.3323 0.6677 0.5000
0.6677 0.3323 0.5000
0.7263 0.7263 0.6898
0.0604 0.3972 0.6867
0.2737 0.2737 0.3102
0.3972 0.0604 0.6867
0.9396 0.6028 0.3133
0.6028 0.9396 0.3133
```

Values from the calculation:
Spin magnetization   0.00 μB per atom
E   -4.53 eV per atom